CrCd2Re: optimized geometry, PBE.

Density (g/cm³): 10.89
DOS(E_F) (states/eV per atom): 0.89
Space-group type: R-3m
Formation enthalpy at 0 K (eV/atom): 0.682

a b c (Å): 9.7455 9.7455 9.7455
angles (deg): 17.20 17.20 17.20
Closest atoms and distances in Å follow each position.
Sites, in units of the cell vectors:
1 Cd 0.9994 0.9994 0.9994  6 Cd 2.91, 3 Cr 2.92, 3 Re 2.94
2 Cd 0.5006 0.5006 0.5006  6 Cd 2.91, 3 Cr 2.92, 3 Re 2.94
3 Cr 0.2500 0.2500 0.2500  6 Cr 2.91, 6 Cd 2.92
4 Re 0.7500 0.7500 0.7500  6 Re 2.91, 6 Cd 2.94